# 1
# UPb2S4Br

UPb2S4Br after structural relaxation (PBE, Alexandria via LeMat-Bulk).

Computed properties:
Uncorrected formation energy = -0.91 eV/atom

Cell: 13.188 4.070 9.695 Å, 90.00 119.38 90.00°
Space group C2/m (No. 12)
Symmetry-distinct sites (fractional):
U 0.000 0.000 0.000
Pb 0.202 0.000 0.722
S 0.110 0.500 0.951
S 0.156 0.000 0.293
Br 0.000 0.500 0.500


# 2
# Sc2TiTl3

Sc2TiTl3 after structural relaxation (PBE, Alexandria via LeMat-Bulk).

Computed properties:
E_form = -88 meV/atom

Cell: 3.644 3.644 10.123 Å, 90.00 90.00 90.00°
Space group P4/mmm (No. 123)
Symmetry-distinct sites (fractional):
Sc 0.000 0.000 0.177
Ti 0.000 0.000 0.500
Tl 0.500 0.500 0.000
Tl 0.500 0.500 0.344


# 3
# TmPuRu

TmPuRu after structural relaxation (PBE, Alexandria via LeMat-Bulk).

Computed properties:
E_form = -185 meV/atom

Cell: 3.328 3.328 12.416 Å, 90.00 90.00 90.00°
Space group I4mm (No. 107)
Symmetry-distinct sites (fractional):
Tm 0.000 0.000 0.000
Pu 0.000 0.000 0.273
Ru 0.000 0.000 0.634


# 4
# YTlP2O8

YTlP2O8 after structural relaxation (PBE, Alexandria via LeMat-Bulk).

Computed properties:
Uncorrected formation energy = -2.28 eV/atom

Cell: 7.033 7.033 6.048 Å, 90.00 90.00 90.00°
Space group I-4m2 (No. 119)
Symmetry-distinct sites (fractional):
Y 0.000 0.000 0.000
Tl 0.000 0.500 0.250
P 0.000 0.000 0.500
P 0.000 0.500 0.750
O 0.000 0.171 0.336
O 0.000 0.326 0.911


# 5
# LuMgZnNi

LuMgZnNi after structural relaxation (PBE, Alexandria via LeMat-Bulk).

Computed properties:
E_form = -275 meV/atom

Cell: 6.564 6.564 6.564 Å, 90.00 90.00 90.00°
Space group F-43m (No. 216)
Symmetry-distinct sites (fractional):
Lu 0.000 0.000 0.000
Mg 0.000 0.000 0.500
Zn 0.250 0.250 0.250
Ni 0.250 0.250 0.750


# 6
# LiOsRh2

LiOsRh2 after structural relaxation (PBE, Alexandria via LeMat-Bulk).

Computed properties:
E_form = 9 meV/atom

Cell: 5.531 7.410 2.681 Å, 90.00 90.00 90.00°
Space group Cmmm (No. 65)
Symmetry-distinct sites (fractional):
Li 0.000 0.000 0.000
Os 0.000 0.500 0.000
Rh 0.250 0.250 0.500


# 7
# Cd2CuCl

Cd2CuCl after structural relaxation (PBE, Alexandria via LeMat-Bulk).

Computed properties:
Uncorrected formation energy = 0.14 eV/atom

Cell: 4.007 4.007 10.587 Å, 90.00 90.00 90.00°
Space group I4/mmm (No. 139)
Symmetry-distinct sites (fractional):
Cd 0.000 0.500 0.250
Cu 0.000 0.000 0.000
Cl 0.000 0.000 0.500


# 8
# NbWI2N

NbWI2N after structural relaxation (PBE, Alexandria via LeMat-Bulk).

Computed properties:
Uncorrected formation energy = 1.21 eV/atom

Cell: 5.693 5.693 3.897 Å, 90.00 90.00 90.00°
Space group P4/mmm (No. 123)
Symmetry-distinct sites (fractional):
Nb 0.000 0.000 0.000
W 0.500 0.500 0.500
I 0.000 0.500 0.000
N 0.000 0.000 0.500


# 9
# Zn2CuAu

Zn2CuAu after structural relaxation (PBE, Alexandria via LeMat-Bulk).

Computed properties:
E_form = -160 meV/atom

Cell: 3.815 3.815 8.095 Å, 90.00 90.00 90.00°
Space group I-4m2 (No. 119)
Symmetry-distinct sites (fractional):
Zn 0.000 0.000 0.000
Zn 0.000 0.500 0.250
Cu 0.000 0.000 0.500
Au 0.000 0.500 0.750


# 10
# Tm8Ga3Te4Pt

Tm8Ga3Te4Pt after structural relaxation (PBE, Alexandria via LeMat-Bulk).

Computed properties:
Uncorrected formation energy = -0.95 eV/atom

Cell: 8.1812 8.1812 21.9905 Å, 90.00 90.00 120.00°
Space group R-3m (No. 166, hexagonal axes)
Symmetry-distinct sites (fractional):
Tm 0.0000 0.0000 0.2446
Tm 0.0046 0.5023 0.2412
Ga 0.0000 0.5000 0.5000
Te 0.0000 0.0000 0.0000
Te 0.0000 0.5000 0.0000
Pt 0.0000 0.0000 0.5000


# 11
# RbHg2Te

RbHg2Te after structural relaxation (PBE, Alexandria via LeMat-Bulk).

Computed properties:
Uncorrected formation energy = -0.32 eV/atom

Cell: 5.4837 5.4837 16.6792 Å, 90.00 90.00 120.00°
Space group R-3m (No. 166, hexagonal axes)
Symmetry-distinct sites (fractional):
Rb 0.0000 0.0000 0.0000
Hg 0.0000 0.0000 0.2225
Te 0.0000 0.0000 0.5000


# 12
# AcAl2SiTc2

AcAl2SiTc2 after structural relaxation (PBE, Alexandria via LeMat-Bulk).

Computed properties:
Uncorrected formation energy = -0.33 eV/atom

Cell: 4.550 4.550 5.965 Å, 90.00 90.00 90.00°
Space group P4/mmm (No. 123)
Symmetry-distinct sites (fractional):
Ac 0.000 0.000 0.000
Al 0.500 0.500 0.259
Si 0.000 0.000 0.500
Tc 0.000 0.500 0.500


# 13
# Y4ZnFe

Y4ZnFe after structural relaxation (PBE, Alexandria via LeMat-Bulk).

Computed properties:
E_form = 768 meV/atom

Cell: 8.716 8.716 8.716 Å, 90.00 90.00 90.00°
Space group F-43m (No. 216)
Symmetry-distinct sites (fractional):
Y 0.125 0.125 0.125
Zn 0.250 0.250 0.750
Fe 0.000 0.000 0.500


# 14
# SnAuF

SnAuF after structural relaxation (PBE, Alexandria via LeMat-Bulk).

Computed properties:
Uncorrected formation energy = -1.13 eV/atom

Cell: 4.951 4.954 6.430 Å, 68.83 89.93 60.03°
Space group P1 (No. 1)
Symmetry-distinct sites (fractional):
Sn 0.000 0.000 0.000
Sn 0.371 0.999 0.500
Au 0.027 0.686 0.465
Au 0.714 0.312 0.535
F 0.196 0.256 0.087
F 0.452 0.743 0.913


# 15
# Cs2AlZnHg

Cs2AlZnHg after structural relaxation (PBE, Alexandria via LeMat-Bulk).

Computed properties:
E_form = 240 meV/atom

Cell: 7.385 7.385 4.994 Å, 90.00 90.00 90.00°
Space group P4/mmm (No. 123)
Symmetry-distinct sites (fractional):
Cs 0.000 0.500 0.000
Al 0.000 0.000 0.500
Zn 0.500 0.500 0.500
Hg 0.000 0.000 0.000


# 16
# BeOsRu

BeOsRu after structural relaxation (PBE, Alexandria via LeMat-Bulk).

Computed properties:
E_form = -109 meV/atom

Cell: 4.444 5.671 5.680 Å, 90.00 90.00 90.00°
Space group Ima2 (No. 46)
Symmetry-distinct sites (fractional):
Be 0.000 0.000 0.000
Os 0.250 0.155 0.655
Ru 0.250 0.654 0.844


# 17
# CaZr2Si

CaZr2Si after structural relaxation (PBE, Alexandria via LeMat-Bulk).

Computed properties:
Uncorrected formation energy = -0.10 eV/atom

Cell: 4.198 4.783 9.392 Å, 90.00 90.00 90.00°
Space group Cmmm (No. 65)
Symmetry-distinct sites (fractional):
Ca 0.000 0.000 0.000
Zr 0.000 0.500 0.314
Si 0.000 0.000 0.500


no.,M_tot (μB/f.u.)
1,1.00
2,1.06
3,5.56
4,0.00
5,0.00
6,0.00
7,0.00
8,4.78
9,0.00
10,0.00
11,0.00
12,0.00
13,2.58
14,0.00
15,0.00
16,0.00
17,0.00